Entry 1:
The following is a PBE calculation of a relaxed structure of Nd2Y, from OQMD.

Lattice parameters (Å, degrees): 6.705 6.705 6.705 60.00 60.00 60.00
Fractional coordinates of all 6 atoms:
Nd (0.625, 0.625, 0.125)
Nd (0.625, 0.125, 0.625)
Nd (0.125, 0.625, 0.625)
Nd (0.625, 0.625, 0.625)
Y (0.000, 0.000, 0.000)
Y (0.250, 0.250, 0.250)

Values from the calculation:
- calculated formation energy (eV per atom) = 0.23
- space group = Fd-3m
- relative energy among the computed polymorphs (kJ/mol of formula units) = 0
- E (eV/atom) = -5.100

---

Entry 2:
The following is a PBE calculation of a relaxed structure of Nd2Y, from OQMD.

Lattice parameters (Å, degrees): 9.159 9.159 9.159 60.00 60.00 60.00
Fractional coordinates of all 6 atoms:
Nd (0.375, 0.375, 0.375)
Nd (0.875, 0.375, 0.375)
Nd (0.375, 0.875, 0.375)
Nd (0.375, 0.375, 0.875)
Y (0.250, 0.250, 0.250)
Y (0.500, 0.500, 0.500)

Values from the calculation:
- calculated formation energy (eV per atom) = 2.24
- space group = Fd-3m
- relative energy among the computed polymorphs (kJ/mol of formula units) = 583
- E (eV/atom) = -3.086

---

Entry 3:
The following is a PBE calculation of a relaxed structure of Nd2Y, from OQMD.

Lattice parameters (Å, degrees): 5.557 5.557 5.557 60.00 60.00 60.00
Fractional coordinates of all 3 atoms:
Nd (0.250, 0.250, 0.250)
Nd (0.750, 0.750, 0.750)
Y (0.000, 0.000, 0.000)

Values from the calculation:
- calculated formation energy (eV per atom) = 0.72
- space group = Fm-3m
- relative energy among the computed polymorphs (kJ/mol of formula units) = 141
- E (eV/atom) = -4.614

---

Entry 4:
The following is a PBE calculation of a relaxed structure of NdYZn6, from OQMD.

Lattice parameters (Å, degrees): 4.728 4.728 6.701 90.00 90.00 90.00
Fractional coordinates of all 8 atoms:
Nd (0.000, 0.000, 0.500)
Y (0.500, 0.500, 0.000)
Zn (0.000, 0.000, 0.000)
Zn (0.500, 0.000, 0.245)
Zn (0.000, 0.500, 0.245)
Zn (0.500, 0.500, 0.500)
Zn (0.500, 0.000, 0.755)
Zn (0.000, 0.500, 0.755)

Values from the calculation:
- calculated formation energy (eV per atom) = -0.28
- space group = P4/mmm
- E (eV/atom) = -2.635

---

Entry 5:
The following is a PBE calculation of a relaxed structure of NdYZn6, from OQMD.

Lattice parameters (Å, degrees): 4.731 6.681 4.732 90.00 90.00 90.00
Fractional coordinates of all 8 atoms:
Nd (0.000, 0.000, 0.253)
Y (0.500, 0.500, 0.747)
Zn (0.500, 0.257, 0.246)
Zn (0.500, 0.743, 0.246)
Zn (0.000, 0.500, 0.252)
Zn (0.500, 0.000, 0.749)
Zn (0.000, 0.257, 0.754)
Zn (0.000, 0.743, 0.754)

Values from the calculation:
- calculated formation energy (eV per atom) = -0.28
- space group = Pmm2
- E (eV/atom) = -2.635

---

Entry 6:
The following is a PBE calculation of a relaxed structure of NdYZr, from OQMD.

Lattice parameters (Å, degrees): 5.254 5.254 5.254 60.00 60.00 60.00
Fractional coordinates of all 3 atoms:
Nd (0.250, 0.250, 0.250)
Y (0.000, 0.000, 0.000)
Zr (0.750, 0.750, 0.750)

Values from the calculation:
- calculated formation energy (eV per atom) = 0.98
- space group = F-43m
- E (eV/atom) = -5.615

---

Please write out number 5 again, unchanged.
The following is a PBE calculation of a relaxed structure of NdYZn6, from OQMD.

Lattice parameters (Å, degrees): 4.731 6.681 4.732 90.00 90.00 90.00
Fractional coordinates of all 8 atoms:
Nd (0.000, 0.000, 0.253)
Y (0.500, 0.500, 0.747)
Zn (0.500, 0.257, 0.246)
Zn (0.500, 0.743, 0.246)
Zn (0.000, 0.500, 0.252)
Zn (0.500, 0.000, 0.749)
Zn (0.000, 0.257, 0.754)
Zn (0.000, 0.743, 0.754)

Values from the calculation:
- calculated formation energy (eV per atom) = -0.28
- space group = Pmm2
- E (eV/atom) = -2.635

---

Q: Which of these has the highest calculated formation energy?
A: number 2

---

Q: Which value of E does entry 1 give?
A: -5.100 eV/atom